DFT (PBE-GGA) results for crystalline TaFe6B6 at its relaxed geometry.

Output
As for the density of states at the Fermi level: 0.7760 states/eV per atom. Its magnetization is 3.31 μB/cell. Its space group is Immm (71). The value obtained for the final energy is -103.73 eV per cell. Its formation enthalpy at 0 K is -1.0 eV per formula unit.

Unit cell a=4.204 b=5.544 c=5.544 alpha=81.22 beta=67.72 gamma=67.72
Site moments in Bohr magnetons follow the coordinates.
Atoms (fractional coordinates):
Ta 0.000 0.000 0.000  -0.04
Fe 0.348 0.652 0.652  1.07
Fe 0.652 0.348 0.348  1.07
Fe 0.000 0.343 0.657  0.49
Fe 0.000 0.657 0.343  0.49
Fe 0.310 0.190 0.190  0.18
Fe 0.690 0.810 0.810  0.18
B 0.000 0.500 0.000  -0.02
B 0.500 0.500 0.000  -0.02
B 0.000 0.000 0.500  -0.02
B 0.500 0.000 0.500  -0.02
B 0.500 0.770 0.230  -0.02
B 0.500 0.230 0.770  -0.02